# 1
Here is an optimized crystal structure of K3TaTl from Alexandria via LeMat-Bulk. Energies are from PBE.

```
K3TaTl
1.0
6.656 0.000 0.000
0.000 6.656 0.000
0.000 0.000 6.656
K Ta Tl
3 1 1
Direct
0.000 0.000 0.500
0.000 0.500 0.000
0.500 0.000 0.000
0.000 0.000 0.000
0.500 0.500 0.500
```

Calculated values
Magnetic moment in μB/cell: 4.82
Space group: Pm-3m, No. 221
Energy relative to the lowest polymorph listed for this composition in meV/atom: 0
Formation energy from the elements in eV/f.u.: 6.91


# 2
Here is an optimized crystal structure of KTa4Tl from Alexandria via LeMat-Bulk. Energies are from PBE.

```
KTa4Tl
1.0
0.000 4.058 4.058
4.058 0.000 4.058
4.058 4.058 0.000
K Ta Tl
1 4 1
Direct
0.000 0.000 0.000
0.115 0.628 0.628
0.628 0.115 0.628
0.628 0.628 0.115
0.628 0.628 0.628
0.250 0.250 0.250
```

Calculated values
Magnetic moment in μB/cell: 0.00
Space group: F-43m, No. 216
Formation energy from the elements in eV/f.u.: 5.94


# 3
Here is an optimized crystal structure of KTa2Tl from Alexandria via LeMat-Bulk. Energies are from PBE.

```
KTa2Tl
1.0
3.101 0.000 0.000
0.000 5.301 0.000
-1.254 0.000 6.958
K Ta Tl
1 2 1
Direct
0.000 0.000 0.000
0.276 0.500 0.648
0.724 0.500 0.352
0.500 0.000 0.500
```

Calculated values
Magnetic moment in μB/cell: 0.00
Space group: P2/m, No. 10
Energy relative to the lowest polymorph listed for this composition in meV/atom: 448
Formation energy from the elements in eV/f.u.: 3.92


# 4
Here is an optimized crystal structure of KTa2Tl from Alexandria via LeMat-Bulk. Energies are from PBE.

```
KTa2Tl
1.0
-2.513 2.513 3.545
2.513 -2.513 3.545
2.513 2.513 -3.545
K Ta Tl
1 2 1
Direct
0.000 0.000 0.000
0.500 0.500 0.000
0.750 0.250 0.500
0.250 0.750 0.500
```

Calculated values
Magnetic moment in μB/cell: 0.00
Space group: I-4m2, No. 119
Energy relative to the lowest polymorph listed for this composition in meV/atom: 711
Formation energy from the elements in eV/f.u.: 4.97


# 5
Here is an optimized crystal structure of KTa2Tl from Alexandria via LeMat-Bulk. Energies are from PBE.

```
KTa2Tl
1.0
2.983 -5.463 0.000
2.983 5.463 0.000
0.000 0.000 2.861
K Ta Tl
1 2 1
Direct
0.000 0.000 0.000
0.000 0.500 0.500
0.500 0.000 0.500
0.500 0.500 0.000
```

Calculated values
Magnetic moment in μB/cell: 0.36
Space group: Cmmm, No. 65
Energy relative to the lowest polymorph listed for this composition in meV/atom: 764
Formation energy from the elements in eV/f.u.: 5.18


# 6
Here is an optimized crystal structure of KTa2Tl from Alexandria via LeMat-Bulk. Energies are from PBE.

```
KTa2Tl
1.0
3.020 0.000 0.000
0.000 5.334 0.000
0.000 0.000 5.714
K Ta Tl
1 2 1
Direct
0.000 0.000 0.000
0.000 0.500 0.500
0.500 0.000 0.500
0.500 0.500 0.000
```

Calculated values
Magnetic moment in μB/cell: 1.03
Space group: Pmmm, No. 47
Energy relative to the lowest polymorph listed for this composition in meV/atom: 582
Formation energy from the elements in eV/f.u.: 4.45


# 7
Here is an optimized crystal structure of KTaTl3 from Alexandria via LeMat-Bulk. Energies are from PBE.

```
KTaTl3
1.0
5.560 0.000 0.000
0.000 5.560 0.000
0.000 0.000 5.560
K Ta Tl
1 1 3
Direct
0.000 0.000 0.000
0.500 0.500 0.500
0.000 0.500 0.500
0.500 0.000 0.500
0.500 0.500 0.000
```

Calculated values
Magnetic moment in μB/cell: 0.00
Space group: Pm-3m, No. 221
Energy relative to the lowest polymorph listed for this composition in meV/atom: 0
Formation energy from the elements in eV/f.u.: 1.80


# 8
Here is an optimized crystal structure of KTaTlV2 from Alexandria via LeMat-Bulk. Energies are from PBE.

```
KTaTlV2
1.0
4.371 0.000 0.000
0.000 4.371 0.000
0.000 0.000 4.852
K Ta Tl V
1 1 1 2
Direct
0.000 0.000 0.000
0.000 0.000 0.500
0.500 0.500 0.500
0.000 0.500 0.000
0.500 0.000 0.000
```

Calculated values
Magnetic moment in μB/cell: 0.00
Space group: P4/mmm, No. 123
Formation energy from the elements in eV/f.u.: 12.82


# 9
Here is an optimized crystal structure of K2TaV2 from Alexandria via LeMat-Bulk. Energies are from PBE.

```
K2TaV2
1.0
9.319 0.000 0.000
0.000 9.319 0.000
0.000 0.000 2.858
K Ta V
4 2 4
Direct
0.114 0.386 0.000
0.386 0.886 0.000
0.614 0.114 0.000
0.886 0.614 0.000
0.000 0.000 0.000
0.500 0.500 0.000
0.193 0.693 0.500
0.307 0.193 0.500
0.693 0.807 0.500
0.807 0.307 0.500
```

Calculated values
Magnetic moment in μB/cell: 13.94
Space group: P4/mbm, No. 127
Energy relative to the lowest polymorph listed for this composition in meV/atom: 0
Formation energy from the elements in eV/f.u.: 9.49


# 10
Here is an optimized crystal structure of K2TaV2 from Alexandria via LeMat-Bulk. Energies are from PBE.

```
K2TaV2
1.0
-2.665 2.665 4.468
2.665 -2.665 4.468
2.665 2.665 -4.468
K Ta V
2 1 2
Direct
0.141 0.141 0.000
0.859 0.859 0.000
0.500 0.500 0.000
0.250 0.750 0.500
0.750 0.250 0.500
```

Calculated values
Magnetic moment in μB/cell: 4.96
Space group: I4/mmm, No. 139
Energy relative to the lowest polymorph listed for this composition in meV/atom: 378
Formation energy from the elements in eV/f.u.: 11.38


# 11
Here is an optimized crystal structure of K2YTaV from Alexandria via LeMat-Bulk. Energies are from PBE.

```
K2YTaV
1.0
5.987 0.000 0.000
0.000 5.987 0.000
0.000 0.000 4.715
K Y Ta V
2 1 1 1
Direct
0.000 0.500 0.000
0.500 0.000 0.000
0.000 0.000 0.500
0.500 0.500 0.500
0.500 0.500 0.000
```

Calculated values
Magnetic moment in μB/cell: 0.40
Space group: P4/mmm, No. 123
Formation energy from the elements in eV/f.u.: 7.94


# 12
Here is an optimized crystal structure of KTa2W from Alexandria via LeMat-Bulk. Energies are from PBE.

```
KTa2W
1.0
0.000 3.413 3.413
3.413 0.000 3.413
3.413 3.413 0.000
K Ta W
1 2 1
Direct
0.000 0.000 0.000
0.500 0.500 0.500
0.750 0.750 0.750
0.250 0.250 0.250
```

Calculated values
Magnetic moment in μB/cell: 0.00
Space group: F-43m, No. 216
Energy relative to the lowest polymorph listed for this composition in meV/atom: 978
Formation energy from the elements in eV/f.u.: 6.39